[1]
SrIn4, optimized geometry, DFT PBE; energy of formation from the pure elements = 661 meV per atom; V = 237 Å³ per cell; size of the total moment = 0.00 μB/cell; SG = No. 221
1.0
6.190 0.000 0.000
0.000 6.190 0.000
0.000 0.000 6.190
Sr In
1 4
Direct
0.000 0.000 0.000
0.000 0.000 0.500
0.000 0.500 0.000
0.500 0.000 0.000
0.500 0.500 0.500

=====

[2]
SrIn2, optimized geometry, DFT PBE; energy of formation from the pure elements = -183 meV per atom; V = 102 Å³ per cell; size of the total moment = 0.00 μB/cell; SG = No. 164
1.0
4.061 0.000 0.000
-2.031 3.517 0.000
0.000 0.000 7.138
Sr In
1 2
Direct
0.000 0.000 0.000
0.333 0.667 0.360
0.667 0.333 0.640

=====

[3]
Sr2In, optimized geometry, DFT PBE; energy of formation from the pure elements = 259 meV per atom; V = 533 Å³ per cell; size of the total moment = 0.00 μB/cell; SG = No. 194
1.0
7.231 0.000 0.000
-3.615 6.262 0.000
0.000 0.000 11.769
Sr In
8 4
Direct
0.000 0.000 0.000
0.000 0.000 0.500
0.175 0.351 0.250
0.175 0.825 0.250
0.351 0.175 0.750
0.649 0.825 0.250
0.825 0.175 0.750
0.825 0.649 0.750
0.333 0.667 0.511
0.333 0.667 0.989
0.667 0.333 0.011
0.667 0.333 0.489

=====

[4]
SrTa2In, optimized geometry, DFT PBE; energy of formation from the pure elements = 401 meV per atom; V = 93 Å³ per cell; size of the total moment = 0.00 μB/cell; SG = No. 35
1.0
1.848 -2.472 0.000
1.848 2.472 0.000
0.000 0.000 10.147
Sr Ta In
1 2 1
Direct
0.000 0.000 0.000
0.000 0.000 0.517
0.500 0.500 0.719
0.500 0.500 0.282

=====

[5]
SrTa2In, optimized geometry, DFT PBE; energy of formation from the pure elements = 708 meV per atom; V = 100 Å³ per cell; size of the total moment = 0.00 μB/cell; SG = No. 47
1.0
3.139 0.000 0.000
0.000 4.404 0.000
0.000 0.000 7.241
Sr Ta In
1 2 1
Direct
0.000 0.000 0.000
0.500 0.500 0.322
0.500 0.500 0.678
0.000 0.000 0.500

=====

[6]
SrTa2In, optimized geometry, DFT PBE; energy of formation from the pure elements = 525 meV per atom; V = 100 Å³ per cell; size of the total moment = 0.00 μB/cell; SG = No. 8
1.0
4.737 -1.524 0.000
4.737 1.524 0.000
-0.633 0.000 6.892
Sr Ta In
1 2 1
Direct
0.000 0.000 0.000
0.506 0.506 0.474
0.772 0.772 0.320
0.247 0.247 0.694

=====

[7]
SrTa2In, optimized geometry, DFT PBE; energy of formation from the pure elements = 650 meV per atom; V = 98 Å³ per cell; size of the total moment = 0.00 μB/cell; SG = No. 44
1.0
-1.593 2.801 5.469
1.593 -2.801 5.469
1.593 2.801 -5.469
Sr Ta In
1 2 1
Direct
0.000 0.000 0.000
0.283 0.783 0.500
0.478 0.478 0.000
0.717 0.217 0.500

=====

[8]
SrTaIn, optimized geometry, DFT PBE; polymorph energy (0 for the lowest one) = 113.44 kJ per mole of atoms; energy of formation from the pure elements = 1609 meV per atom; V = 100 Å³ per cell; size of the total moment = 2.58 μB/cell; SG = No. 216
1.0
0.000 3.681 3.681
3.681 0.000 3.681
3.681 3.681 0.000
Sr Ta In
1 1 1
Direct
0.000 0.000 0.000
0.750 0.750 0.750
0.250 0.250 0.250

=====

[9]
SrTaIn, optimized geometry, DFT PBE; polymorph energy (0 for the lowest one) = 54.43 kJ per mole of atoms; energy of formation from the pure elements = 998 meV per atom; V = 94 Å³ per cell; size of the total moment = 2.24 μB/cell; SG = No. 216
1.0
0.000 3.604 3.604
3.604 0.000 3.604
3.604 3.604 0.000
Sr Ta In
1 1 1
Direct
0.000 0.000 0.000
0.500 0.500 0.500
0.250 0.250 0.250

=====

[10]
Sr3TaIn, optimized geometry, DFT PBE; polymorph energy (0 for the lowest one) = 0.00 kJ per mole of atoms; energy of formation from the pure elements = 919 meV per atom; V = 209 Å³ per cell; size of the total moment = 0.00 μB/cell; SG = No. 221
1.0
5.931 0.000 0.000
0.000 5.931 0.000
0.000 0.000 5.931
Sr Ta In
3 1 1
Direct
0.000 0.000 0.500
0.000 0.500 0.000
0.500 0.000 0.000
0.000 0.000 0.000
0.500 0.500 0.500

=====

[11]
SrTa2In, optimized geometry, DFT PBE; energy of formation from the pure elements = 990 meV per atom; V = 239 Å³ per cell; size of the total moment = 0.00 μB/cell; SG = No. 122
1.0
-2.393 2.393 10.452
2.393 -2.393 10.452
2.393 2.393 -10.452
Sr Ta In
2 4 2
Direct
0.000 0.000 0.000
0.750 0.250 0.500
0.299 0.125 0.674
0.375 0.701 0.826
0.451 0.625 0.326
0.875 0.549 0.174
0.250 0.750 0.500
0.500 0.500 0.000

=====

[12]
Sr2TaIn, optimized geometry, DFT PBE; energy of formation from the pure elements = 597 meV per atom; V = 117 Å³ per cell; size of the total moment = 0.93 μB/cell; SG = No. 10
1.0
3.377 0.000 0.000
0.000 5.207 0.000
-0.021 0.000 6.660
Sr Ta In
2 1 1
Direct
0.001 0.000 0.253
0.999 0.000 0.747
0.500 0.500 0.500
0.500 0.500 0.000

=====

What did the tenth record say?
Sr3TaIn, optimized geometry, DFT PBE; polymorph energy (0 for the lowest one) = 0.00 kJ per mole of atoms; energy of formation from the pure elements = 919 meV per atom; V = 209 Å³ per cell; size of the total moment = 0.00 μB/cell; SG = No. 221
1.0
5.931 0.000 0.000
0.000 5.931 0.000
0.000 0.000 5.931
Sr Ta In
3 1 1
Direct
0.000 0.000 0.500
0.000 0.500 0.000
0.500 0.000 0.000
0.000 0.000 0.000
0.500 0.500 0.500

=====

Which value of V does entry 3 give? 533 Å³ per cell

=====

What is the V in the ninth record? 94 Å³ per cell

=====

What is the size of the total moment in the third record? 0.00 μB/cell